1.
Material: AgHgPt2
Method: DFT, PBE
State: optimized geometry

a b c (Å): 5.001 5.001 5.031
angles (deg): 80.28 80.28 34.11
Sites, in units of the cell vectors:
Pt 0.745 0.745 0.753
Pt 0.005 0.005 0.993
Hg 0.254 0.254 0.246
Ag 0.496 0.496 0.508

Computed properties:
VASP energy ... -3.772 eV/atom
E_form ... 0.037 eV per atom



2.
Material: MnMoSe
Method: DFT, PBE
State: optimized geometry

a b c (Å): 4.018 4.018 4.018
angles (deg): 60.00 60.00 60.00
Sites, in units of the cell vectors:
Se 0.500 0.500 0.500
Mo 0.000 0.000 0.000
Mn 0.250 0.250 0.250

Computed properties:
Formation energy (no corrections) ... 123 meV per atom
Energy above the lowest structure with this stoichiometry ... 0 meV per atom
VASP energy ... -7.706 eV/atom



3.
Material: Y3Be
Method: DFT, PBE
State: optimized geometry

a b c (Å): 6.164 6.164 6.164
angles (deg): 116.76 116.76 116.76
Sites, in units of the cell vectors:
Y 0.000 0.500 0.500
Y 0.500 0.000 0.500
Y 0.500 0.500 0.000
Be 0.000 0.000 0.000

Computed properties:
Energy above the lowest structure with this stoichiometry ... 373 meV per atom
VASP energy ... -5.343 eV/atom
E_form ... 0.436 eV per atom



4.
Material: CaCo2Si2
Method: DFT, PBE
State: optimized geometry

a b c (Å): 7.186 7.186 2.614
angles (deg): 90.00 90.00 90.00
Sites, in units of the cell vectors:
Co 0.350 0.150 0.500
Co 0.850 0.350 0.500
Co 0.650 0.850 0.500
Co 0.150 0.650 0.500
Si 0.865 0.635 0.000
Si 0.365 0.865 0.000
Si 0.635 0.135 0.000
Si 0.135 0.365 0.000
Ca 0.500 0.500 0.000
Ca 0.000 0.000 0.000

Computed properties:
Formation energy (no corrections) ... -268 meV per atom
VASP energy ... -5.680 eV/atom